Material: AcLa2Sm5Dy
Method: DFT, PBE-GGA
State: relaxed

a = 5.7901 Å, b = 19.8056 Å, c = 11.3936 Å
α = 90.00°, β = 90.00°, γ = 90.00°
Last column: nearest neighbours and their distance in Å.
Space group Cmc2_1 (No. 36)
Symmetry-distinct sites (fractional):
Ac 0.0000 0.2226 0.0000 (multiplicity 4)  8 Sm 3.66-3.90, 1 La 3.70, 2 Dy 3.96
La 0.0000 0.0959 0.7617 (multiplicity 4)  6 Sm 3.35-3.72, 1 Ac 3.70
La 0.0000 0.1371 0.3658 (multiplicity 4)  1 Sm 3.28
Sm 0.0000 0.0292 0.0643 (multiplicity 4)  2 Dy 3.24, 1 La 3.35
Sm 0.0000 0.2854 0.6976 (multiplicity 4)  1 Dy 3.51, 3 Sm 3.52-3.67, 3 Ac 3.66-3.67, 3 La 3.80-3.82
Sm 0.0000 0.2980 0.2968 (multiplicity 4)  1 Dy 3.12, 1 La 3.28
Sm 0.0000 0.4131 0.0576 (multiplicity 4)  5 Sm 3.37-3.70, 1 Dy 3.54, 4 La 3.72-3.76
Sm 0.0000 0.4666 0.7672 (multiplicity 4)  5 Sm 3.37-3.71, 2 Dy 3.40-3.43, 2 La 3.72
Dy 0.0000 0.4132 0.4837 (multiplicity 4)  5 Sm 3.12-3.43

Summary:
**E_form**: 112 kJ/mol of formula units
**Calculated volume**: 36.3 Å³/atom
**Density of states at the Fermi level**: 52.1 states/eV/cell
**Raw total energy**: -4.5557 eV per atom
**M_tot**: 0.00 Bohr magnetons per cell